No. 1
The following is a PBE calculation of a geometry-optimized Tc2HgAs structure, from Alexandria via LeMat-Bulk.

Values from the calculation:
* formation energy from the elements: 515.1 meV per atom
* DFT total energy: -5.906 eV per atom
* energy above the most stable polymorph in this dataset: 384 meV per atom
* symmetry: No. 225

a b c (Å): 4.4925 4.4925 4.4925
angles (deg): 60.00 60.00 60.00
With the nearest neighbours (Å) after each atom.
Sites, in units of the cell vectors:
Tc1 0.2500 0.2500 0.2500  4 Hg 2.75, 4 As 2.75
Tc2 0.7500 0.7500 0.7500  4 Hg 2.75, 4 As 2.75
Hg1 0.0000 0.0000 0.0000  8 Tc 2.75
As1 0.5000 0.5000 0.5000  8 Tc 2.75

=====

No. 2
The following is a PBE calculation of a geometry-optimized CuPtBr2 structure, from Alexandria via LeMat-Bulk.

Values from the calculation:
* DFT total energy: -3.327 eV per atom
* energy above the most stable polymorph in this dataset: 0 meV per atom
* formation energy from raw total energies: 0.044 eV/atom
* symmetry: No. 160

a b c (Å): 8.1651 8.1651 8.1651
angles (deg): 26.58 26.58 26.58
With the nearest neighbours (Å) after each atom.
Sites, in units of the cell vectors:
Cu1 0.0000 0.0000 0.0000  3 Br 2.54, 3 Pt 2.62
Pt1 0.2707 0.2707 0.2707  3 Br 2.58, 3 Cu 2.62
Br1 0.5450 0.5450 0.5450  3 Pt 2.58
Br2 0.7226 0.7226 0.7226  3 Cu 2.54